Entry one
The following is a DFT calculation (SCAN) of a PBEsol-optimized structure of SbAsW2.

Values from the calculation:
M_tot, μB per formula unit: 0.00
Fermi-level density of states, states/eV/atom: 0.83
Calculated density, g/cm³: 13.5

```
data_SbAsW2
_space_group_name_H-M_alt 'P m m m'
_space_group_IT_number 47
_cell_length_a 3.220
_cell_length_b 4.280
_cell_length_c 5.028
_cell_angle_alpha 90.00
_cell_angle_beta 90.00
_cell_angle_gamma 90.00
loop_
_space_group_symop_operation_xyz
'x,y,z'
'-x,-y,-z'
'-x,-y,z'
'x,y,-z'
'x,-y,-z'
'-x,y,z'
'-x,y,-z'
'x,-y,z'
loop_
_atom_site_label
_atom_site_type_symbol
_atom_site_fract_x
_atom_site_fract_y
_atom_site_fract_z
Sb1 Sb 0.000 0.000 0.000
As1 As 0.500 0.000 0.500
W1 W 0.000 0.500 0.500
W2 W 0.500 0.500 0.000
```

=====

Entry two
The following is a DFT calculation (SCAN) of a PBEsol-optimized structure of SbAsW2.

Values from the calculation:
M_tot, μB per formula unit: 0.00
Fermi-level density of states, states/eV/atom: 0.76
Calculated density, g/cm³: 13.5

```
data_SbAsW2
_space_group_name_H-M_alt 'C 1 2/m 1'
_space_group_IT_number 12
_cell_length_a 5.775
_cell_length_b 8.596
_cell_length_c 3.104
_cell_angle_alpha 90.00
_cell_angle_beta 115.30
_cell_angle_gamma 90.00
loop_
_space_group_symop_operation_xyz
'x,y,z'
'-x,-y,-z'
'-x,y,-z'
'x,-y,z'
'x+1/2,y+1/2,z'
'-x+1/2,-y+1/2,-z'
'-x+1/2,y+1/2,-z'
'x+1/2,-y+1/2,z'
loop_
_atom_site_label
_atom_site_type_symbol
_atom_site_fract_x
_atom_site_fract_y
_atom_site_fract_z
Sb1 Sb 0.000 0.000 0.000
As1 As 0.000 0.500 0.000
W1 W 0.250 0.250 0.500
```

=====

Most stable structure, least stable structure: entry one, entry two.

=====

Entry one
The following is a DFT calculation (SCAN) of a PBEsol-optimized structure of SbAsW2.

Values from the calculation:
M_tot, μB per formula unit: 0.00
Fermi-level density of states, states/eV/atom: 0.86
Calculated density, g/cm³: 13.5

```
data_SbAsW2
_space_group_name_H-M_alt 'C m m m'
_space_group_IT_number 65
_space_group_name_Hall '-C 2 2'
_cell_length_a 3.179
_cell_length_b 5.154
_cell_length_c 8.503
_cell_angle_alpha 90.00
_cell_angle_beta 90.00
_cell_angle_gamma 90.00
loop_
_atom_site_label
_atom_site_type_symbol
_atom_site_fract_x
_atom_site_fract_y
_atom_site_fract_z
Sb1 Sb 0.000 0.000 0.000
As1 As 0.000 0.000 0.500
W1 W 0.000 0.500 0.269
```

=====

Entry two
The following is a DFT calculation (SCAN) of a PBEsol-optimized structure of SbAsW2.

Values from the calculation:
M_tot, μB per formula unit: 0.00
Fermi-level density of states, states/eV/atom: 0.62
Calculated density, g/cm³: 13.5

```
data_SbAsW2
_space_group_name_H-M_alt 'P 4 m m'
_space_group_IT_number 99
_cell_length_a 3.314
_cell_length_b 3.314
_cell_length_c 6.299
_cell_angle_alpha 90.00
_cell_angle_beta 90.00
_cell_angle_gamma 90.00
loop_
_space_group_symop_operation_xyz
'x,y,z'
'-y,x,z'
'-x,-y,z'
'y,-x,z'
'-x,y,z'
'y,x,z'
'x,-y,z'
'-y,-x,z'
loop_
_atom_site_label
_atom_site_type_symbol
_atom_site_fract_x
_atom_site_fract_y
_atom_site_fract_z
Sb1 Sb 0.000 0.000 0.000
As1 As 0.500 0.500 0.670
W1 W 0.000 0.000 0.509
W2 W 0.500 0.500 0.232
```

=====

Most stable structure, least stable structure: entry two, entry one.

=====

Entry one
The following is a DFT calculation (SCAN) of a PBEsol-optimized structure of ScTcAs.

Values from the calculation:
M_tot, μB per formula unit: 0.00
Fermi-level density of states, states/eV/atom: 0.32
Calculated density, g/cm³: 6.9

```
data_ScTcAs
_space_group_name_H-M_alt 'P 3 m 1'
_space_group_IT_number 156
_cell_length_a 3.2923
_cell_length_b 3.2923
_cell_length_c 5.6102
_cell_angle_alpha 90.00
_cell_angle_beta 90.00
_cell_angle_gamma 120.00
loop_
_space_group_symop_operation_xyz
'x,y,z'
'-y,x-y,z'
'-x+y,-x,z'
'-y,-x,z'
'-x+y,y,z'
'x,x-y,z'
loop_
_atom_site_label
_atom_site_type_symbol
_atom_site_fract_x
_atom_site_fract_y
_atom_site_fract_z
Sc1 Sc 0.0000 0.0000 0.0000
Tc1 Tc 0.3333 0.6667 0.6266
As1 As 0.6667 0.3333 0.3549
```

=====

Entry two
The following is a DFT calculation (SCAN) of a PBEsol-optimized structure of ScTcAs.

Values from the calculation:
M_tot, μB per formula unit: 0.00
Fermi-level density of states, states/eV/atom: 0.60
Calculated density, g/cm³: 7.2

```
data_ScTcAs
_space_group_name_H-M_alt 'P -6 m 2'
_space_group_IT_number 187
_space_group_name_Hall 'P -6 2'
_cell_length_a 4.2325
_cell_length_b 4.2325
_cell_length_c 3.2321
_cell_angle_alpha 90.00
_cell_angle_beta 90.00
_cell_angle_gamma 120.00
loop_
_atom_site_label
_atom_site_type_symbol
_atom_site_fract_x
_atom_site_fract_y
_atom_site_fract_z
Sc1 Sc 0.0000 0.0000 0.0000
Tc1 Tc 0.3333 0.6667 0.5000
As1 As 0.6667 0.3333 0.5000
```

=====

Most stable structure, least stable structure: entry two, entry one.

=====

Entry one
The following is a DFT calculation (SCAN) of a PBEsol-optimized structure of ScAsW.

Values from the calculation:
M_tot, μB per formula unit: 0.00
Fermi-level density of states, states/eV/atom: 0.69
Calculated density, g/cm³: 9.8

```
data_ScAsW
_space_group_name_H-M_alt 'F m m 2'
_space_group_IT_number 42
_space_group_name_Hall 'F 2 -2'
_cell_length_a 3.416
_cell_length_b 4.846
_cell_length_c 12.392
_cell_angle_alpha 90.00
_cell_angle_beta 90.00
_cell_angle_gamma 90.00
loop_
_atom_site_label
_atom_site_type_symbol
_atom_site_fract_x
_atom_site_fract_y
_atom_site_fract_z
Sc1 Sc 0.000 0.000 0.000
As1 As 0.000 0.000 0.332
W1 W 0.000 0.000 0.680
```

=====

Entry two
The following is a DFT calculation (SCAN) of a PBEsol-optimized structure of ScAsW.

Values from the calculation:
M_tot, μB per formula unit: 0.00
Fermi-level density of states, states/eV/atom: 0.29
Calculated density, g/cm³: 9.4

```
data_ScAsW
_space_group_name_H-M_alt 'P 3 m 1'
_space_group_IT_number 156
_cell_length_a 3.2289
_cell_length_b 3.2289
_cell_length_c 5.9634
_cell_angle_alpha 90.00
_cell_angle_beta 90.00
_cell_angle_gamma 120.00
loop_
_space_group_symop_operation_xyz
'x,y,z'
'-y,x-y,z'
'-x+y,-x,z'
'-y,-x,z'
'-x+y,y,z'
'x,x-y,z'
loop_
_atom_site_label
_atom_site_type_symbol
_atom_site_fract_x
_atom_site_fract_y
_atom_site_fract_z
Sc1 Sc 0.0000 0.0000 0.0000
As1 As 0.6667 0.3333 0.3451
W1 W 0.3333 0.6667 0.6305
```

=====

Most stable structure, least stable structure: entry two, entry one.